Entry 1:
The following is a DFT calculation (PBE-GGA) of a relaxed structure of ScPbBr3.

Calculated values
energy above the lowest structure with this stoichiometry: 632 meV/atom
formation energy (no corrections): -199 meV per atom
total magnetization: 1.981 μB per formula unit
E_tot: -16.05 eV per formula unit

Lattice parameters (Å, degrees): 5.869 5.869 5.869 90.00 90.00 90.00
Fractional positions:
Pb  0.000  0.000  0.000
Sc  0.500  0.500  0.500
Br  0.000  0.500  0.000
Br  0.000  0.000  0.500
Br  0.500  0.000  0.000

Entry 2:
The following is a DFT calculation (PBE-GGA) of a relaxed structure of Li2HgPd5.

Calculated values
formation enthalpy at 0 K: -0.310 eV/atom
total magnetization: 0.000 μB per formula unit
E_tot: -32.57 eV per formula unit

Lattice parameters (Å, degrees): 3.927 5.602 11.239 90.00 90.00 90.00
Fractional positions:
Li  0.500  0.254  0.631
Li  0.500  0.746  0.369
Li  0.500  0.246  0.131
Li  0.500  0.754  0.869
Hg  0.000  0.000  0.500
Hg  0.000  0.500  0.000
Pd  0.000  0.000  0.000
Pd  0.000  0.500  0.500
Pd  0.000  0.490  0.749
Pd  0.000  0.510  0.251
Pd  0.000  0.010  0.249
Pd  0.000  0.990  0.751
Pd  0.500  0.240  0.872
Pd  0.500  0.760  0.128
Pd  0.500  0.260  0.372
Pd  0.500  0.740  0.628

Entry 3:
The following is a DFT calculation (PBE-GGA) of a relaxed structure of SiTeCl2.

Calculated values
energy above the lowest structure with this stoichiometry: 224 meV/atom
formation energy (no corrections): -98 meV per atom
total magnetization: 0.342 μB per formula unit
E_tot: -12.65 eV per formula unit

Lattice parameters (Å, degrees): 12.529 12.529 12.529 16.15 16.15 16.15
Fractional positions:
Si  0.500  0.500  0.500
Te  0.000  0.000  0.000
Cl  0.877  0.877  0.877
Cl  0.123  0.123  0.123

Entry 4:
The following is a DFT calculation (PBE-GGA) of a relaxed structure of SmInPbCl6.

Calculated values
formation energy (no corrections): -1593 meV per atom
total magnetization: 0.000 μB per formula unit
E_tot: -36.58 eV per formula unit

Lattice parameters (Å, degrees): 7.405 7.405 13.431 90.00 90.00 120.00
Fractional positions:
Sm  0.667  0.333  0.250
Sm  0.333  0.667  0.750
In  0.000  0.000  0.000
In  0.000  0.000  0.500
Pb  0.333  0.667  0.250
Pb  0.667  0.333  0.750
Cl  0.645  0.625  0.135
Cl  0.980  0.355  0.135
Cl  0.355  0.980  0.635
Cl  0.020  0.645  0.865
Cl  0.375  0.355  0.365
Cl  0.980  0.625  0.365
Cl  0.625  0.980  0.865
Cl  0.645  0.020  0.365
Cl  0.020  0.375  0.635
Cl  0.375  0.020  0.135
Cl  0.625  0.645  0.635
Cl  0.355  0.375  0.865